Entry 1:
# YAl3Fe2

YAl3Fe2 after structural relaxation (PBE, Alexandria via LeMat-Bulk).

Mass density (g/cm³): 4.6
Energy of formation (meV/atom): -86

```
data_YAl3Fe2
_space_group_name_H-M_alt 'C 1 2 1'
_space_group_IT_number 5
_cell_length_a 9.235
_cell_length_b 7.956
_cell_length_c 2.746
_cell_angle_alpha 90.00
_cell_angle_beta 90.20
_cell_angle_gamma 90.00
loop_
_space_group_symop_operation_xyz
'x,y,z'
'-x,y,-z'
'x+1/2,y+1/2,z'
'-x+1/2,y+1/2,-z'
loop_
_atom_site_label
_atom_site_type_symbol
_atom_site_fract_x
_atom_site_fract_y
_atom_site_fract_z
Y1 Y 0.000 0.000 0.000
Al1 Al 0.000 0.394 0.000
Al2 Al 0.198 0.661 0.999
Fe1 Fe 0.223 0.400 0.501
```

---

Entry 2:
# Ba3Li2PdO6

Ba3Li2PdO6 after structural relaxation (PBE, Alexandria via LeMat-Bulk).

Mass density (g/cm³): 5.1
Energy relative to the elements, uncorrected (meV/atom): -1809

```
data_Ba3Li2PdO6
_space_group_name_H-M_alt 'P -3 m 1'
_space_group_IT_number 164
_space_group_name_Hall '-P 3 2"'
_cell_length_a 5.9144
_cell_length_b 5.9144
_cell_length_c 6.7016
_cell_angle_alpha 90.00
_cell_angle_beta 90.00
_cell_angle_gamma 120.00
loop_
_atom_site_label
_atom_site_type_symbol
_atom_site_fract_x
_atom_site_fract_y
_atom_site_fract_z
Ba1 Ba 0.0000 0.0000 0.0000
Ba2 Ba 0.3333 0.6667 0.6389
Li1 Li 0.3333 0.6667 0.2322
Pd1 Pd 0.0000 0.0000 0.5000
O1 O 0.1629 0.3257 0.3156
```

---

Entry 3:
# SrTaP3

SrTaP3 after structural relaxation (PBE, Alexandria via LeMat-Bulk).

Mass density (g/cm³): 5.2
Energy of formation (meV/atom): -452
Offset from the most stable computed form (meV per atom): 0.0

```
data_SrTaP3
_space_group_name_H-M_alt 'P m -3 m'
_space_group_IT_number 221
_space_group_name_Hall '-P 4 2 3'
_cell_length_a 4.880
_cell_length_b 4.880
_cell_length_c 4.880
_cell_angle_alpha 90.00
_cell_angle_beta 90.00
_cell_angle_gamma 90.00
loop_
_atom_site_label
_atom_site_type_symbol
_atom_site_fract_x
_atom_site_fract_y
_atom_site_fract_z
Sr1 Sr 0.000 0.000 0.000
Ta1 Ta 0.500 0.500 0.500
P1 P 0.000 0.500 0.500
```

---

Entry 4:
# Ba2MgCl

Ba2MgCl after structural relaxation (PBE, Alexandria via LeMat-Bulk).

Mass density (g/cm³): 3.2
Energy relative to the elements, uncorrected (meV/atom): -623
Offset from the most stable computed form (meV per atom): 263.9

```
data_Ba2MgCl
_space_group_name_H-M_alt 'I -4 m 2'
_space_group_IT_number 119
_space_group_name_Hall 'I -4 -2'
_cell_length_a 4.830
_cell_length_b 4.830
_cell_length_c 14.830
_cell_angle_alpha 90.00
_cell_angle_beta 90.00
_cell_angle_gamma 90.00
loop_
_atom_site_label
_atom_site_type_symbol
_atom_site_fract_x
_atom_site_fract_y
_atom_site_fract_z
Ba1 Ba 0.000 0.000 0.000
Ba2 Ba 0.000 0.500 0.250
Mg1 Mg 0.000 0.000 0.500
Cl1 Cl 0.000 0.500 0.750
```

---

Entry 5:
# LiAc4Pd2

LiAc4Pd2 after structural relaxation (PBE, Alexandria via LeMat-Bulk).

Mass density (g/cm³): 8.2
Energy of formation (meV/atom): -417

```
data_LiAc4Pd2
_space_group_name_H-M_alt 'P 1'
_space_group_IT_number 1
_cell_length_a 7.563
_cell_length_b 7.672
_cell_length_c 9.370
_cell_angle_alpha 108.10
_cell_angle_beta 107.73
_cell_angle_gamma 103.92
loop_
_space_group_symop_operation_xyz
'x,y,z'
loop_
_atom_site_label
_atom_site_type_symbol
_atom_site_fract_x
_atom_site_fract_y
_atom_site_fract_z
Li1 Li 0.000 0.000 0.000
Li2 Li 0.233 0.739 0.466
Ac1 Ac 0.033 0.146 0.371
Ac2 Ac 0.335 0.113 0.794
Ac3 Ac 0.440 0.891 0.200
Ac4 Ac 0.470 0.424 0.266
Ac5 Ac 0.496 0.634 0.793
Ac6 Ac 0.776 0.054 0.675
Ac7 Ac 0.894 0.509 0.095
Ac8 Ac 0.935 0.573 0.671
Pd1 Pd 0.197 0.445 0.929
Pd2 Pd 0.501 0.247 0.537
Pd3 Pd 0.682 0.091 0.047
Pd4 Pd 0.865 0.777 0.419
```

---

Entry 6:
# BeFe2Ru

BeFe2Ru after structural relaxation (PBE, Alexandria via LeMat-Bulk).

Mass density (g/cm³): 8.4
Energy of formation (meV/atom): -34

```
data_BeFe2Ru
_space_group_name_H-M_alt 'P 4 m m'
_space_group_IT_number 99
_cell_length_a 2.811
_cell_length_b 2.811
_cell_length_c 5.523
_cell_angle_alpha 90.00
_cell_angle_beta 90.00
_cell_angle_gamma 90.00
loop_
_space_group_symop_operation_xyz
'x,y,z'
'-y,x,z'
'-x,-y,z'
'y,-x,z'
'-x,y,z'
'y,x,z'
'x,-y,z'
'-y,-x,z'
loop_
_atom_site_label
_atom_site_type_symbol
_atom_site_fract_x
_atom_site_fract_y
_atom_site_fract_z
Be1 Be 0.000 0.000 0.000
Fe1 Fe 0.000 0.000 0.460
Fe2 Fe 0.500 0.500 0.217
Ru1 Ru 0.500 0.500 0.751
```

---

Entry 7:
# PaNb2Re

PaNb2Re after structural relaxation (PBE, Alexandria via LeMat-Bulk).

Mass density (g/cm³): 13.3
Energy of formation (meV/atom): 42

```
data_PaNb2Re
_space_group_name_H-M_alt 'P 4/m m m'
_space_group_IT_number 123
_space_group_name_Hall '-P 4 2'
_cell_length_a 3.334
_cell_length_b 3.334
_cell_length_c 6.773
_cell_angle_alpha 90.00
_cell_angle_beta 90.00
_cell_angle_gamma 90.00
loop_
_atom_site_label
_atom_site_type_symbol
_atom_site_fract_x
_atom_site_fract_y
_atom_site_fract_z
Pa1 Pa 0.000 0.000 0.000
Nb1 Nb 0.500 0.500 0.267
Re1 Re 0.000 0.000 0.500
```

---

Entry 8:
# GdErPdRh

GdErPdRh after structural relaxation (PBE, Alexandria via LeMat-Bulk).

Mass density (g/cm³): 10.6
Energy of formation (meV/atom): -867

```
data_GdErPdRh
_space_group_name_H-M_alt 'F -4 3 m'
_space_group_IT_number 216
_space_group_name_Hall 'F -4 2 3'
_cell_length_a 6.938
_cell_length_b 6.938
_cell_length_c 6.938
_cell_angle_alpha 90.00
_cell_angle_beta 90.00
_cell_angle_gamma 90.00
loop_
_atom_site_label
_atom_site_type_symbol
_atom_site_fract_x
_atom_site_fract_y
_atom_site_fract_z
Gd1 Gd 0.000 0.000 0.000
Er1 Er 0.000 0.000 0.500
Pd1 Pd 0.250 0.250 0.750
Rh1 Rh 0.250 0.250 0.250
```

---

Entry 9:
# MgGa2Si2

MgGa2Si2 after structural relaxation (PBE, Alexandria via LeMat-Bulk).

Mass density (g/cm³): 4.1
Energy relative to the elements, uncorrected (meV/atom): 177

```
data_MgGa2Si2
_space_group_name_H-M_alt 'P 4/m b m'
_space_group_IT_number 127
_space_group_name_Hall '-P 4 2ab'
_cell_length_a 7.292
_cell_length_b 7.292
_cell_length_c 3.368
_cell_angle_alpha 90.00
_cell_angle_beta 90.00
_cell_angle_gamma 90.00
loop_
_atom_site_label
_atom_site_type_symbol
_atom_site_fract_x
_atom_site_fract_y
_atom_site_fract_z
Mg1 Mg 0.000 0.000 0.000
Ga1 Ga 0.169 0.331 0.500
Si1 Si 0.124 0.624 0.000
```

---

What spin magnetization values result from the calculations? In sequence: 0.296, 0.000, 0.000, 0.000, 0.000, 0.772, 0.000, 1.762, 0.000 μB per atom.
What calculated volume values result from the calculations? In sequence: 202, 203, 116, 346, 457, 44, 75, 334, 179 Å³ per cell.
What total DFT energy (no corrections) values result from the calculations? In sequence: -0.430, -0.406, -0.471, -0.180, -0.332, -0.552, -0.770, -0.637, -0.259 Ry per atom.